Run w
The following is a DFT calculation (PBE) of crystalline Zn3AgAu at its relaxed geometry.

a = 2.882 Å, b = 9.068 Å, c = 12.511 Å
α = 90.00°, β = 90.00°, γ = 90.00°
Positions (direct):
Zn (0.250, 0.378, 0.338)
Zn (0.250, 0.878, 0.162)
Zn (0.750, 0.622, 0.662)
Zn (0.750, 0.127, 0.233)
Zn (0.750, 0.122, 0.838)
Zn (0.250, 0.118, 0.434)
Zn (0.750, 0.627, 0.267)
Zn (0.250, 0.618, 0.066)
Zn (0.750, 0.882, 0.566)
Zn (0.250, 0.873, 0.767)
Zn (0.750, 0.382, 0.934)
Zn (0.250, 0.373, 0.733)
Au (0.250, 0.613, 0.853)
Au (0.250, 0.113, 0.647)
Au (0.750, 0.387, 0.147)
Au (0.750, 0.887, 0.353)
Ag (0.250, 0.640, 0.469)
Ag (0.250, 0.140, 0.031)
Ag (0.750, 0.360, 0.531)
Ag (0.750, 0.860, 0.969)

---

Run x
The following is a DFT calculation (PBE) of crystalline Zn3AgAu at its relaxed geometry.

a = 4.941 Å, b = 5.185 Å, c = 7.132 Å
α = 111.32°, β = 90.00°, γ = 90.00°
Positions (direct):
Ag (0.250, 0.443, 0.885)
Ag (0.750, 0.557, 0.115)
Au (0.250, 0.821, 0.642)
Au (0.750, 0.179, 0.358)
Zn (0.250, 0.406, 0.301)
Zn (0.750, 0.594, 0.699)
Zn (0.750, 0.105, 0.699)
Zn (0.250, 0.895, 0.301)
Zn (0.500, 0.000, 0.000)
Zn (0.000, 0.000, 0.000)

---

Run y
The following is a DFT calculation (PBE) of crystalline Zn3AgAu at its relaxed geometry.

a = 4.891 Å, b = 4.891 Å, c = 4.891 Å
α = 90.00°, β = 90.00°, γ = 90.00°
Positions (direct):
Zn (0.000, 0.500, 0.000)
Zn (0.500, 0.000, 0.000)
Zn (0.000, 0.000, 0.500)
Au (0.000, 0.000, 0.000)
Ag (0.500, 0.500, 0.500)

---

Consider the structures shown above. The most stable of them is run w.